A PBEsol-optimized structure of RePPb2, computed with SCAN.

Cell lengths 3.164, 3.164, 8.274 Å; angles 90.00, 90.00, 90.00 degrees
Element x y z (fractional)
1 Re 0.000 0.000 0.000
2 P 0.500 0.500 0.115
3 Pb 0.000 0.000 0.373
4 Pb 0.500 0.500 0.736

Results
Spin magnetization in Bohr magnetons per cell: 0.00
E_form in eV/atom: 0.195

A PBEsol-optimized structure of Ni2OsSe, computed with SCAN.

Cell lengths 4.868, 4.868, 4.868 Å; angles 145.89, 127.97, 63.69 degrees
Element x y z (fractional)
1 Ni 0.229 0.229 0.000
2 Ni 0.771 0.771 0.000
3 Os 0.500 0.000 0.500
4 Se 0.000 0.500 0.500

Results
Spin magnetization in Bohr magnetons per cell: 0.00
Uncorrected formation energy in eV/atom: 0.497

A PBEsol-optimized structure of KBI3, computed with SCAN.

Cell lengths 5.277, 5.277, 5.277 Å; angles 90.00, 90.00, 90.00 degrees
Element x y z (fractional)
1 K 0.000 0.000 0.000
2 B 0.500 0.500 0.500
3 I 0.000 0.500 0.500
4 I 0.500 0.000 0.500
5 I 0.500 0.500 0.000

Results
Spin magnetization in Bohr magnetons per cell: 0.00
Uncorrected formation energy in eV/atom: -0.057

A PBEsol-optimized structure of ZnCuPt2, computed with SCAN.

Cell lengths 4.970, 4.970, 4.476 Å; angles 110.89, 110.89, 32.25 degrees
Element x y z (fractional)
1 Zn 0.000 0.000 0.000
2 Cu 0.745 0.745 0.386
3 Pt 0.250 0.250 0.891
4 Pt 0.494 0.494 0.492

Results
Spin magnetization in Bohr magnetons per cell: 0.00
E_form in eV/atom: -0.337

A PBEsol-optimized structure of Y2CdAg, computed with SCAN.

Cell lengths 3.642, 5.126, 5.132 Å; angles 90.00, 90.00, 90.00 degrees
Element x y z (fractional)
1 Y 0.000 0.000 0.000
2 Y 0.000 0.500 0.493
3 Cd 0.500 0.000 0.504
4 Ag 0.500 0.500 0.987

Results
Spin magnetization in Bohr magnetons per cell: 0.00
E_form in eV/atom: -0.448

A PBEsol-optimized structure of GaSiNi2Ag, computed with SCAN.

Cell lengths 4.595, 4.595, 4.532 Å; angles 90.00, 90.00, 90.00 degrees
Element x y z (fractional)
1 Ga 0.000 0.000 0.000
2 Si 0.500 0.500 0.000
3 Ni 0.000 0.500 0.500
4 Ni 0.500 0.000 0.500
5 Ag 0.000 0.000 0.500

Results
Spin magnetization in Bohr magnetons per cell: 2.00
Uncorrected formation energy in eV/atom: 1.303

A PBEsol-optimized structure of LiInHg2, computed with SCAN.

Cell lengths 3.234, 4.575, 6.058 Å; angles 90.00, 104.49, 90.00 degrees
Element x y z (fractional)
1 Li 0.000 0.000 0.000
2 In 0.330 0.500 0.675
3 Hg 0.577 0.500 0.162
4 Hg 0.728 0.000 0.470

Results
Spin magnetization in Bohr magnetons per cell: 0.00
E_form in eV/atom: -0.207

A PBEsol-optimized structure of Sr3MoSe, computed with SCAN.

Cell lengths 5.473, 5.473, 5.473 Å; angles 90.00, 90.00, 90.00 degrees
Element x y z (fractional)
1 Sr 0.000 0.000 0.500
2 Sr 0.000 0.500 0.000
3 Sr 0.500 0.000 0.000
4 Mo 0.000 0.000 0.000
5 Se 0.500 0.500 0.500

Results
Spin magnetization in Bohr magnetons per cell: 0.00
Uncorrected formation energy in eV/atom: 0.440

A PBEsol-optimized structure of TlCoPtC2, computed with SCAN.

Cell lengths 4.199, 4.199, 5.118 Å; angles 90.00, 90.00, 90.00 degrees
Element x y z (fractional)
1 Tl 0.000 0.000 0.000
2 Co 0.500 0.500 0.500
3 Pt 0.000 0.000 0.500
4 C 0.000 0.500 0.000
5 C 0.500 0.000 0.000

Results
Spin magnetization in Bohr magnetons per cell: 1.51
E_form in eV/atom: 3.054

A PBEsol-optimized structure of ScP2PtCl, computed with SCAN.

Cell lengths 4.921, 4.921, 4.535 Å; angles 90.00, 90.00, 90.00 degrees
Element x y z (fractional)
1 Sc 0.000 0.000 0.000
2 P 0.000 0.500 0.000
3 P 0.500 0.000 0.000
4 Pt 0.500 0.500 0.500
5 Cl 0.000 0.000 0.500

Results
Spin magnetization in Bohr magnetons per cell: 0.00
Uncorrected formation energy in eV/atom: 0.477

A PBEsol-optimized structure of SrCr2Rh, computed with SCAN.

Cell lengths 2.868, 4.064, 6.304 Å; angles 90.00, 90.00, 90.00 degrees
Element x y z (fractional)
1 Sr 0.000 0.000 0.000
2 Cr 0.500 0.500 0.354
3 Cr 0.500 0.500 0.646
4 Rh 0.000 0.000 0.500

Results
Spin magnetization in Bohr magnetons per cell: 0.00
E_form in eV/atom: 0.660

A PBEsol-optimized structure of Cd2IrCl, computed with SCAN.

Cell lengths 4.714, 4.714, 4.714 Å; angles 60.00, 60.00, 60.00 degrees
Element x y z (fractional)
1 Cd 0.250 0.250 0.250
2 Cd 0.750 0.750 0.750
3 Ir 0.000 0.000 0.000
4 Cl 0.500 0.500 0.500

Results
Spin magnetization in Bohr magnetons per cell: 0.35
ΔE to the lowest computed polymorph in meV/atom: 169
Uncorrected formation energy in eV/atom: 0.468

A PBEsol-optimized structure of TiSCl6O, computed with SCAN.

Cell lengths 7.771, 9.957, 12.736 Å; angles 90.00, 108.03, 90.00 degrees
Element x y z (fractional)
1 Ti 0.160 0.143 0.059
2 Ti 0.160 0.357 0.559
3 Ti 0.840 0.643 0.441
4 Ti 0.840 0.857 0.941
5 S 0.396 0.590 0.763
6 S 0.396 0.910 0.263
7 S 0.604 0.090 0.737
8 S 0.604 0.410 0.237
9 Cl 0.011 0.702 0.047
10 Cl 0.011 0.798 0.547
11 Cl 0.100 0.525 0.413
12 Cl 0.100 0.975 0.913
13 Cl 0.203 0.243 0.221
14 Cl 0.203 0.257 0.721
15 Cl 0.220 0.573 0.853
16 Cl 0.220 0.927 0.353
17 Cl 0.409 0.544 0.152
18 Cl 0.409 0.956 0.652
19 Cl 0.419 0.191 0.030
20 Cl 0.419 0.309 0.530
21 Cl 0.581 0.691 0.470
22 Cl 0.581 0.809 0.970
23 Cl 0.591 0.044 0.348
24 Cl 0.591 0.456 0.848
25 Cl 0.780 0.073 0.647
26 Cl 0.780 0.427 0.147
27 Cl 0.797 0.743 0.279
28 Cl 0.797 0.757 0.779
29 Cl 0.900 0.025 0.087
30 Cl 0.900 0.475 0.587
31 Cl 0.989 0.202 0.453
32 Cl 0.989 0.298 0.953
33 O 0.306 0.531 0.654
34 O 0.306 0.969 0.154
35 O 0.694 0.031 0.846
36 O 0.694 0.469 0.346

Results
Spin magnetization in Bohr magnetons per cell: 0.00
Uncorrected formation energy in eV/atom: -1.249

A PBEsol-optimized structure of HfTlIn3, computed with SCAN.

Cell lengths 5.505, 5.505, 5.505 Å; angles 90.00, 90.00, 90.00 degrees
Element x y z (fractional)
1 Hf 0.000 0.000 0.000
2 Tl 0.500 0.500 0.500
3 In 0.000 0.000 0.500
4 In 0.000 0.500 0.000
5 In 0.500 0.000 0.000

Results
Spin magnetization in Bohr magnetons per cell: 0.00
E_form in eV/atom: 0.441
ΔE to the lowest computed polymorph in meV/atom: 0

A PBEsol-optimized structure of K2AlOs, computed with SCAN.

Cell lengths 4.467, 4.467, 5.263 Å; angles 90.00, 90.00, 90.00 degrees
Element x y z (fractional)
1 K 0.000 0.000 0.246
2 K 0.000 0.000 0.754
3 Al 0.500 0.500 0.500
4 Os 0.500 0.500 0.000

Results
Spin magnetization in Bohr magnetons per cell: 1.40
E_form in eV/atom: 1.237

A PBEsol-optimized structure of AgBiAs2, computed with SCAN.

Cell lengths 7.505, 7.505, 7.505 Å; angles 132.37, 132.37, 69.65 degrees
Element x y z (fractional)
1 Ag 0.000 0.000 0.000
2 Ag 0.750 0.250 0.500
3 Bi 0.250 0.750 0.500
4 Bi 0.500 0.500 0.000
5 As 0.091 0.625 0.966
6 As 0.375 0.341 0.466
7 As 0.659 0.125 0.034
8 As 0.875 0.909 0.534

Results
Spin magnetization in Bohr magnetons per cell: 0.00
E_form in eV/atom: 0.230

A PBEsol-optimized structure of CaSbPb2, computed with SCAN.

Cell lengths 5.905, 5.905, 5.905 Å; angles 131.78, 131.64, 70.69 degrees
Element x y z (fractional)
1 Ca 0.000 0.000 0.000
2 Sb 0.750 0.250 0.500
3 Pb 0.250 0.750 0.500
4 Pb 0.500 0.500 0.000

Results
Spin magnetization in Bohr magnetons per cell: 0.00
Uncorrected formation energy in eV/atom: -0.411

A PBEsol-optimized structure of Fe2AgTe, computed with SCAN.

Cell lengths 3.123, 3.123, 6.672 Å; angles 90.00, 90.00, 90.00 degrees
Element x y z (fractional)
1 Fe 0.000 0.000 0.000
2 Fe 0.500 0.500 0.172
3 Ag 0.500 0.500 0.762
4 Te 0.000 0.000 0.406

Results
Spin magnetization in Bohr magnetons per cell: 5.36
Uncorrected formation energy in eV/atom: 0.280

A PBEsol-optimized structure of BaLi3Mo, computed with SCAN.

Cell lengths 5.273, 5.273, 5.273 Å; angles 90.00, 90.00, 90.00 degrees
Element x y z (fractional)
1 Ba 0.000 0.000 0.000
2 Li 0.000 0.500 0.500
3 Li 0.500 0.000 0.500
4 Li 0.500 0.500 0.000
5 Mo 0.500 0.500 0.500

Results
Spin magnetization in Bohr magnetons per cell: 4.35
E_form in eV/atom: 0.777

A PBEsol-optimized structure of Hf3CF, computed with SCAN.

Cell lengths 4.431, 4.431, 4.431 Å; angles 90.00, 90.00, 90.00 degrees
Element x y z (fractional)
1 Hf 0.000 0.000 0.500
2 Hf 0.000 0.500 0.000
3 Hf 0.500 0.000 0.000
4 C 0.000 0.000 0.000
5 F 0.500 0.500 0.500

Results
Spin magnetization in Bohr magnetons per cell: 0.00
ΔE to the lowest computed polymorph in meV/atom: 0
Uncorrected formation energy in eV/atom: -0.059